1.
## Tb6Pr2Er3Sc (PBE-GGA)

Data for crystalline Tb6Pr2Er3Sc at its relaxed geometry.

Unit cell a=6.140 b=6.140 c=11.781 alpha=94.97 beta=94.97 gamma=119.98
Fractional positions:
1 Tb 0.246 0.246 0.747
2 Tb 0.414 0.084 0.252
3 Tb 0.084 0.414 0.252
4 Tb 0.916 0.586 0.748
5 Tb 0.754 0.754 0.253
6 Tb 0.586 0.916 0.748
7 Pr 0.666 0.334 0.000
8 Pr 0.334 0.666 0.000
9 Er 0.166 0.834 0.500
10 Er 0.834 0.166 0.500
11 Er 0.500 0.500 0.500
12 Sc 0.000 0.000 0.000

Formation enthalpy at 0 K = 0.026 eV/atom



2.
## KBaGe (PBE-GGA)

Data for crystalline KBaGe at its relaxed geometry.

Unit cell a=5.685 b=5.685 c=9.015 alpha=87.18 beta=118.05 gamma=109.40
Fractional positions:
1 Ge 0.160 0.009 0.168
2 Ge 0.840 0.991 0.832
3 K 0.500 0.500 0.500
4 K 0.000 0.000 0.500
5 Ba 0.265 0.668 0.932
6 Ba 0.735 0.332 0.068

Energy above the lowest structure with this stoichiometry = 216 meV per atom
Formation enthalpy at 0 K = -0.125 eV/atom



3.
## Nd3In2 (PBE-GGA)

Data for crystalline Nd3In2 at its relaxed geometry.

Unit cell a=5.443 b=9.434 c=12.518 alpha=90.00 beta=90.00 gamma=90.00
Fractional positions:
1 In 0.250 0.582 0.259
2 In 0.750 0.751 0.500
3 In 0.250 0.918 0.759
4 In 0.250 0.249 0.500
5 In 0.750 0.749 0.000
6 In 0.750 0.082 0.241
7 In 0.250 0.251 0.000
8 In 0.750 0.418 0.741
9 Nd 0.750 0.749 0.250
10 Nd 0.250 0.251 0.750
11 Nd 0.250 0.919 0.410
12 Nd 0.750 0.086 0.915
13 Nd 0.250 0.249 0.250
14 Nd 0.750 0.751 0.750
15 Nd 0.250 0.581 0.910
16 Nd 0.250 0.586 0.585
17 Nd 0.750 0.081 0.590
18 Nd 0.750 0.419 0.090
19 Nd 0.750 0.414 0.415
20 Nd 0.250 0.914 0.085

Formation enthalpy at 0 K = -0.298 eV/atom



4.
## Ac4GePt (PBE-GGA)

Data for crystalline Ac4GePt at its relaxed geometry.

Unit cell a=5.309 b=5.311 c=7.672 alpha=89.91 beta=89.94 gamma=90.00
Fractional positions:
1 Ge 0.501 0.497 0.998
2 Ac 0.001 0.497 0.255
3 Ac 0.501 0.998 0.741
4 Ac 0.002 0.498 0.741
5 Ac 0.501 0.997 0.255
6 Pt 0.001 0.997 0.498

Formation enthalpy at 0 K = -0.523 eV/atom



5.
## Th2SiN (PBE-GGA)

Data for crystalline Th2SiN at its relaxed geometry.

Unit cell a=3.942 b=3.942 c=6.930 alpha=73.48 beta=73.48 gamma=60.00
Fractional positions:
1 N 0.500 0.500 0.500
2 Th 0.761 0.761 0.716
3 Th 0.239 0.239 0.284
4 Si 0.000 0.000 0.000

Raw formation energy = -0.915 eV per atom



6.
## CsGa2P2 (PBE-GGA)

Data for crystalline CsGa2P2 at its relaxed geometry.

Unit cell a=9.057 b=9.057 c=3.605 alpha=90.00 beta=90.00 gamma=90.00
Fractional positions:
1 Ga 0.125 0.375 0.000
2 Ga 0.625 0.125 0.000
3 Ga 0.875 0.625 0.000
4 Ga 0.375 0.875 0.000
5 P 0.089 0.589 0.500
6 P 0.589 0.911 0.500
7 P 0.911 0.411 0.500
8 P 0.411 0.089 0.500
9 Cs 0.500 0.500 0.000
10 Cs 0.000 0.000 0.000

Energy above the lowest structure with this stoichiometry = 357 meV per atom
Formation enthalpy at 0 K = -0.002 eV/atom



7.
## ScZnF2 (PBE-GGA)

Data for crystalline ScZnF2 at its relaxed geometry.

Unit cell a=5.328 b=5.328 c=7.099 alpha=67.96 beta=67.96 gamma=90.00
Fractional positions:
1 Sc 0.500 0.500 0.000
2 Sc 0.250 0.750 0.500
3 Zn 0.750 0.250 0.500
4 Zn 0.000 0.000 0.000
5 F 0.380 0.125 0.250
6 F 0.875 0.630 0.750
7 F 0.370 0.625 0.250
8 F 0.375 0.620 0.750

Energy above the lowest structure with this stoichiometry = 50 meV per atom
Raw formation energy = -2.127 eV per atom



8.
## Dy2PuCd (PBE-GGA)

Data for crystalline Dy2PuCd at its relaxed geometry.

Unit cell a=3.602 b=5.478 c=5.478 alpha=90.00 beta=90.00 gamma=90.00
Last column: magnetic moment on the atom in μB.
Fractional positions:
1 Pu 0.500 0.500 0.500  5.56
2 Dy 0.000 0.000 0.500  0.28
3 Dy 0.000 0.500 0.000  0.28
4 Cd 0.500 0.000 0.000  -0.01

Energy above the lowest structure with this stoichiometry = 44 meV per atom
Formation enthalpy at 0 K = -0.016 eV/atom



9.
## ScCu2Pd2 (PBE-GGA)

Data for crystalline ScCu2Pd2 at its relaxed geometry.

Unit cell a=7.186 b=7.186 c=3.007 alpha=90.00 beta=90.00 gamma=90.00
Fractional positions:
1 Sc 0.500 0.500 0.000
2 Sc 0.000 0.000 0.000
3 Pd 0.141 0.359 0.000
4 Pd 0.359 0.859 0.000
5 Pd 0.859 0.641 0.000
6 Pd 0.641 0.141 0.000
7 Cu 0.655 0.845 0.500
8 Cu 0.345 0.155 0.500
9 Cu 0.845 0.345 0.500
10 Cu 0.155 0.655 0.500

Energy above the lowest structure with this stoichiometry = 137 meV per atom
Formation enthalpy at 0 K = -0.337 eV/atom



10.
## SnPPd3 (PBE-GGA)

Data for crystalline SnPPd3 at its relaxed geometry.

Unit cell a=4.570 b=4.570 c=4.570 alpha=90.00 beta=90.00 gamma=90.00
Fractional positions:
1 Pd 0.000 0.000 0.500
2 Pd 0.500 0.000 0.000
3 Pd 0.000 0.500 0.000
4 P 0.000 0.000 0.000
5 Sn 0.500 0.500 0.500

Energy above the lowest structure with this stoichiometry = 157 meV per atom
Formation enthalpy at 0 K = -0.264 eV/atom



11.
## TlZnB (PBE-GGA)

Data for crystalline TlZnB at its relaxed geometry.

Unit cell a=3.175 b=3.179 c=11.985 alpha=86.05 beta=92.79 gamma=60.14
Fractional positions:
1 Zn 0.683 0.214 0.625
2 Zn 0.788 0.084 0.895
3 B 0.069 0.482 0.760
4 B 0.402 0.816 0.759
5 Tl 0.205 0.314 0.112
6 Tl 0.265 0.980 0.407

Formation enthalpy at 0 K = 0.282 eV/atom



12.
## Ba4BeAs4 (PBE-GGA)

Data for crystalline Ba4BeAs4 at its relaxed geometry.

Unit cell a=6.748 b=9.388 c=9.388 alpha=90.00 beta=90.00 gamma=90.00
Fractional positions:
1 Ba 0.696 0.000 0.265
2 Ba 0.804 0.500 0.765
3 Ba 0.804 0.500 0.235
4 Ba 0.696 0.000 0.735
5 Ba 0.196 0.235 0.500
6 Ba 0.304 0.735 0.000
7 Ba 0.196 0.765 0.500
8 Ba 0.304 0.265 0.000
9 As 0.812 0.216 0.000
10 As 0.812 0.784 0.000
11 As 0.188 0.000 0.784
12 As 0.312 0.500 0.284
13 As 0.688 0.716 0.500
14 As 0.312 0.500 0.716
15 As 0.688 0.284 0.500
16 As 0.188 0.000 0.216
17 Be 0.000 0.000 0.000
18 Be 0.500 0.500 0.500

Formation enthalpy at 0 K = -0.868 eV/atom



Number 1: VASP energy -4.754 eV/atom. Number 2: VASP energy -2.671 eV/atom. Number 3: VASP energy -4.254 eV/atom. Number 4: VASP energy -5.038 eV/atom. Number 5: VASP energy -8.062 eV/atom. Number 6: VASP energy -3.547 eV/atom. Number 7: VASP energy -4.964 eV/atom. Number 8: VASP energy -6.128 eV/atom. Number 9: VASP energy -5.319 eV/atom. Number 10: VASP energy -5.262 eV/atom. Number 11: VASP energy -3.157 eV/atom. Number 12: VASP energy -4.203 eV/atom.